This record from Alexandria describes BaPm2Cd after structural relaxation. The functional is PBE.

Cell and atoms, written as POSCAR:
```
BaPm2Cd
1.0
3.709 0.000 0.000
1.854 3.212 0.000
1.854 1.071 12.381
Cd Ba Pm
1 1 2
Direct
0.500 0.500 0.500
0.000 0.000 0.000
0.100 0.100 0.700
0.900 0.900 0.300
```

Results
Density of states at the Fermi level (states/eV/cell): 5.97
Formation enthalpy at 0 K (meV/atom): 151
Calculated total energy (eV per atom): -2.934
Size of the total moment (μB per formula unit): 0.00
ΔE to the lowest computed polymorph (eV per atom): 0.1849